1.
Material: BeVGa3
Method: DFT, PBE-GGA
State: relaxed

Calculated values
- ΔE_f: 0.917 eV/atom
- Calculated total energy: -3.4685 eV per atom
- Energy above the most stable polymorph in this dataset: 0.347 eV/atom
- Density of states at the Fermi level: 4.05 states/eV/f.u.

a b c (Å): 4.763 4.763 4.763
angles (deg): 90.00 90.00 90.00
Space group Pm-3m (No. 221)
Inequivalent atoms, fractional coordinates:
Be 0.000 0.000 0.000 x1
V 0.500 0.500 0.500 x1
Ga 0.000 0.500 0.500 x3

=====

2.
Material: Ba6PtRh2
Method: DFT, PBE-GGA
State: relaxed

Calculated values
- ΔE_f: -0.242 eV/atom
- Calculated total energy: -3.8288 eV per atom
- Energy above the most stable polymorph in this dataset: 0.052 eV/atom
- Density of states at the Fermi level: 6.06 states/eV/f.u.

a b c (Å): 16.652 4.529 10.563
angles (deg): 90.00 94.44 90.00
Space group C2/m (No. 12)
Inequivalent atoms, fractional coordinates:
Ba 0.051 0.000 0.291 x4
Ba 0.138 0.500 0.990 x4
Ba 0.212 0.000 0.659 x4
Pt 0.000 0.000 0.000 x2
Rh 0.209 0.000 0.198 x4

=====

3.
Material: Ac4SiAu
Method: DFT, PBE-GGA
State: relaxed

Calculated values
- Calculated total energy: -4.5162 eV per atom
- Uncorrected formation energy: -0.33 eV per atom
- Density of states at the Fermi level: 8.42 states/eV/f.u.

a b c (Å): 5.367 5.367 7.638
angles (deg): 90.00 90.00 90.00
Space group P4/mmm (No. 123)
Inequivalent atoms, fractional coordinates:
Ac 0.000 0.500 0.246 x4
Si 0.000 0.000 0.000 x1
Au 0.500 0.500 0.500 x1

=====

4.
Material: SnWBr3
Method: DFT, PBE-GGA
State: relaxed

Calculated values
- Calculated total energy: -3.4501 eV per atom
- Uncorrected formation energy: 0.94 eV per atom
- Density of states at the Fermi level: 8.15 states/eV/f.u.

a b c (Å): 5.686 5.686 5.686
angles (deg): 90.00 90.00 90.00
Space group Pm-3m (No. 221)
Inequivalent atoms, fractional coordinates:
Sn 0.000 0.000 0.000 x1
W 0.500 0.500 0.500 x1
Br 0.000 0.000 0.500 x3

=====

- Which formula does entry 1 have?
  BeVGa3